La3NdTm4 | GGA-PBE | optimized geometry

CIF file:
```
data_La3NdTm4
_chemical_formula_sum 'La6 Nd2 Tm8'
_cell_length_a 11.584
_cell_length_b 7.306
_cell_length_c 6.323
_cell_angle_alpha 90.00
_cell_angle_beta 90.00
_cell_angle_gamma 90.00
_space_group_name_H-M_alt 'P m n 21'
_space_group_IT_number 31
loop_
_space_group_symop_operation_xyz
'x,y,z'
'-x+1/2,-y,z+1/2'
'-x,y,z'
'x+1/2,-y,z+1/2'
loop_
_atom_site_label
_atom_site_fract_x
_atom_site_fract_y
_atom_site_fract_z
_atom_site_occupancy
La1 0.000 0.130 0.000 1
La2 0.249 0.126 0.334 1
Nd1 0.000 0.868 0.500 1
Tm1 0.000 0.381 0.502 1
Tm2 0.000 0.620 0.004 1
Tm3 0.249 0.618 0.333 1
```

Summary:
relative energy among the computed polymorphs	0.00	kcal/mol of atoms
E	-4.65	eV per atom
ΔH_f (0 K)	0.03	eV per atom